LaTmPd after structural relaxation, computed with PBE.

Cell and atoms, written as POSCAR:
```
LaTmPd
1.0
-6.858 0.531 -2.363
1.092 -6.196 6.630
-3.087 1.484 9.292
La Pd Tm
6 6 6
Direct
0.241 0.398 0.551
0.842 0.602 0.449
0.640 0.000 0.250
0.640 0.000 0.750
0.842 0.602 0.949
0.241 0.398 0.051
0.222 0.000 0.750
0.222 0.000 0.250
0.587 0.649 0.176
0.939 0.351 0.824
0.939 0.351 0.324
0.587 0.649 0.676
0.973 0.000 0.000
0.973 0.000 0.500
0.515 0.252 0.374
0.262 0.748 0.626
0.262 0.748 0.126
0.515 0.252 0.874
```

Results
Its space group is Amm2 (38). The density is 8.468 g/cm³. The energy comes out at -5.42 eV/atom. The value obtained for the formation energy is -0.560 eV per atom. The calculation puts the density of states at the Fermi level at 22.31 states/eV/cell.



La2UPd9 after structural relaxation, computed with PBE.

Cell and atoms, written as POSCAR:
```
La2UPd9
1.0
4.195 0.000 0.000
0.000 4.195 0.000
0.000 0.000 12.607
La U Pd
2 1 9
Direct
0.000 0.000 0.334
0.000 0.000 0.666
0.000 0.000 0.000
0.500 0.500 0.000
0.500 0.500 0.329
0.500 0.500 0.671
0.500 0.000 0.157
0.500 0.000 0.500
0.500 0.000 0.843
0.000 0.500 0.157
0.000 0.500 0.500
0.000 0.500 0.843
```

Results
Its space group is P4/mmm (123). The density is 11.032 g/cm³. The energy comes out at -6.39 eV/atom. The value obtained for the formation energy is -0.729 eV per atom. The calculation puts the density of states at the Fermi level at 9.44 states/eV/cell.



LaVPd3 after structural relaxation, computed with PBE.

Cell and atoms, written as POSCAR:
```
LaVPd3
1.0
5.111 0.000 0.000
0.000 5.111 0.000
0.000 0.000 5.111
La Pd V
1 3 1
Direct
0.000 0.000 0.000
0.000 0.500 0.000
0.000 0.000 0.500
0.500 0.000 0.000
0.500 0.500 0.500
```

Results
Its space group is Pm-3m (221). The density is 6.331 g/cm³. The energy comes out at -5.04 eV/atom. The value obtained for the formation energy is 0.887 eV per atom. The calculation puts the density of states at the Fermi level at 5.74 states/eV/cell.



La2VPd2 after structural relaxation, computed with PBE.

Cell and atoms, written as POSCAR:
```
La2VPd2
1.0
7.651 0.000 0.000
0.000 7.651 0.000
0.000 0.000 4.132
La Pd V
4 4 2
Direct
0.176 0.676 0.500
0.676 0.824 0.500
0.824 0.324 0.500
0.324 0.176 0.500
0.369 0.869 0.000
0.869 0.631 0.000
0.631 0.131 0.000
0.131 0.369 0.000
0.000 0.000 0.000
0.500 0.500 0.000
```

Results
Its space group is P4/mbm (127). The density is 7.435 g/cm³. The energy comes out at -6.25 eV/atom. The value obtained for the formation energy is -0.374 eV per atom. The calculation puts the density of states at the Fermi level at 9.30 states/eV/cell.



LaVPd3 after structural relaxation, computed with PBE.

Cell and atoms, written as POSCAR:
```
LaVPd3
1.0
4.759 0.000 0.000
0.000 4.759 0.000
0.000 0.000 4.759
La Pd V
1 3 1
Direct
0.500 0.500 0.500
0.000 0.500 0.000
0.000 0.000 0.500
0.500 0.000 0.000
0.000 0.000 0.000
```

Results
Its space group is Pm-3m (221). The density is 7.844 g/cm³. The energy comes out at -6.01 eV/atom. The value obtained for the formation energy is -0.087 eV per atom. The calculation puts the density of states at the Fermi level at 4.16 states/eV/cell.



LaVPd after structural relaxation, computed with PBE.

Cell and atoms, written as POSCAR:
```
LaVPd
1.0
3.338 0.000 0.000
-1.669 3.374 0.000
0.000 0.000 11.883
Pd V La
2 2 2
Direct
0.218 0.436 0.000
0.332 0.663 0.500
0.637 0.274 0.378
0.637 0.274 0.622
0.921 0.842 0.182
0.921 0.842 0.818
```

Results
Its space group is Amm2 (38). The density is 7.354 g/cm³. The energy comes out at -6.17 eV/atom. The value obtained for the formation energy is 0.248 eV per atom. The calculation puts the density of states at the Fermi level at 6.45 states/eV/cell.



LaVPd2 after structural relaxation, computed with PBE.

Cell and atoms, written as POSCAR:
```
LaVPd2
1.0
0.000 3.440 3.440
3.440 0.000 3.440
3.440 3.440 0.000
La Pd V
1 2 1
Direct
0.500 0.500 0.500
0.250 0.250 0.250
0.750 0.750 0.750
0.000 0.000 0.000
```

Results
Its space group is Fm-3m (225). The density is 8.212 g/cm³. The energy comes out at -6.33 eV/atom. The value obtained for the formation energy is -0.223 eV per atom. The calculation puts the density of states at the Fermi level at 4.71 states/eV/cell.



LaVPd2 after structural relaxation, computed with PBE.

Cell and atoms, written as POSCAR:
```
LaVPd2
1.0
-3.479 3.307 0.935
-3.160 -2.555 -2.721
-5.598 -3.905 5.770
La Pd V
2 4 2
Direct
0.000 0.000 0.000
0.750 0.250 0.500
0.486 0.125 0.250
0.264 0.625 0.250
0.375 0.514 0.750
0.875 0.736 0.750
0.500 0.500 0.000
0.250 0.750 0.500
```

Results
Its space group is I-42d (122). The density is 6.785 g/cm³. The energy comes out at -6.03 eV/atom. The value obtained for the formation energy is 0.075 eV per atom. The calculation puts the density of states at the Fermi level at 8.37 states/eV/cell.



La3VPd after structural relaxation, computed with PBE.

Cell and atoms, written as POSCAR:
```
La3VPd
1.0
-2.363 -4.697 -0.724
0.020 -0.818 5.244
-4.753 2.332 0.382
La Pd V
3 1 1
Direct
0.000 0.500 0.000
0.000 0.000 0.500
0.500 0.000 0.000
0.500 0.500 0.500
0.000 0.000 0.000
```

Results
Its space group is Pm-3m (221). The density is 6.374 g/cm³. The energy comes out at -5.53 eV/atom. The value obtained for the formation energy is 0.289 eV per atom. The calculation puts the density of states at the Fermi level at 6.25 states/eV/cell.



LaY2VPd after structural relaxation, computed with PBE.

Cell and atoms, written as POSCAR:
```
LaY2VPd
1.0
-2.065 -2.951 3.828
-1.573 -3.526 -3.567
4.248 -2.367 0.467
Y V Pd La
2 1 1 1
Direct
0.000 0.500 0.000
0.500 0.000 0.000
0.000 0.000 0.000
0.000 0.000 0.500
0.500 0.500 0.500
```

Results
Its space group is P4/mmm (123). The density is 5.832 g/cm³. The energy comes out at -6.14 eV/atom. The value obtained for the formation energy is 0.295 eV per atom. The calculation puts the density of states at the Fermi level at 5.94 states/eV/cell.



LaZr2VPd after structural relaxation, computed with PBE.

Cell and atoms, written as POSCAR:
```
LaZr2VPd
1.0
-4.305 -2.802 0.808
2.573 -2.973 3.402
-1.292 3.030 3.625
V Zr Pd La
1 2 1 1
Direct
0.500 0.500 0.500
0.000 0.500 0.000
0.500 0.000 0.000
0.000 0.000 0.500
0.000 0.000 0.000
```

Results
Its space group is P4/mmm (123). The density is 6.003 g/cm³. The energy comes out at -5.69 eV/atom. The value obtained for the formation energy is 1.577 eV per atom. The calculation puts the density of states at the Fermi level at 5.46 states/eV/cell.



La2PdW2 after structural relaxation, computed with PBE.

Cell and atoms, written as POSCAR:
```
La2PdW2
1.0
-3.330 -0.979 1.273
0.259 -3.219 -1.800
2.335 -5.839 6.983
Pd W La
1 2 2
Direct
0.000 0.000 0.000
0.750 0.250 0.500
0.250 0.750 0.500
0.398 0.398 0.203
0.602 0.602 0.797
```

Results
Its space group is I4/mmm (139). The density is 10.119 g/cm³. The energy comes out at -7.99 eV/atom. The value obtained for the formation energy is 0.202 eV per atom. The calculation puts the density of states at the Fermi level at 1.53 states/eV/cell.



LaPd3W after structural relaxation, computed with PBE.

Cell and atoms, written as POSCAR:
```
LaPd3W
1.0
-2.756 4.011 -0.531
-1.237 -1.447 -4.510
-3.852 -2.405 1.828
Pd W La
3 1 1
Direct
0.000 0.500 0.000
0.000 0.000 0.500
0.500 0.000 0.000
0.000 0.000 0.000
0.500 0.500 0.500
```

Results
Its space group is Pm-3m (221). The density is 9.086 g/cm³. The energy comes out at -6.41 eV/atom. The value obtained for the formation energy is 0.278 eV per atom. The calculation puts the density of states at the Fermi level at 3.68 states/eV/cell.



La2PdW after structural relaxation, computed with PBE.

Cell and atoms, written as POSCAR:
```
La2PdW
1.0
0.000 3.639 3.639
3.639 0.000 3.639
3.639 3.639 0.000
Pd W La
1 1 2
Direct
0.000 0.000 0.000
0.500 0.500 0.500
0.250 0.250 0.250
0.750 0.750 0.750
```

Results
Its space group is Fm-3m (225). The density is 9.787 g/cm³. The energy comes out at -6.77 eV/atom. The value obtained for the formation energy is 0.231 eV per atom. The calculation puts the density of states at the Fermi level at 3.38 states/eV/cell.



LaPdW2 after structural relaxation, computed with PBE.

Cell and atoms, written as POSCAR:
```
LaPdW2
1.0
-0.116 4.719 -0.514
-4.399 -0.300 -1.763
-5.753 3.057 7.437
Pd W La
2 4 2
Direct
0.500 0.500 0.000
0.250 0.750 0.500
0.353 0.125 0.250
0.397 0.625 0.250
0.375 0.647 0.750
0.875 0.603 0.750
0.000 0.000 0.000
0.750 0.250 0.500
```

Results
Its space group is I-42d (122). The density is 9.709 g/cm³. The energy comes out at -8.07 eV/atom. The value obtained for the formation energy is 0.935 eV per atom. The calculation puts the density of states at the Fermi level at 7.98 states/eV/cell.



LaPd2W after structural relaxation, computed with PBE.

Cell and atoms, written as POSCAR:
```
LaPd2W
1.0
0.000 3.439 3.439
3.439 0.000 3.439
3.439 3.439 0.000
Pd W La
2 1 1
Direct
0.250 0.250 0.250
0.750 0.750 0.750
0.500 0.500 0.500
0.000 0.000 0.000
```

Results
Its space group is Fm-3m (225). The density is 10.934 g/cm³. The energy comes out at -6.84 eV/atom. The value obtained for the formation energy is 0.231 eV per atom. The calculation puts the density of states at the Fermi level at 5.71 states/eV/cell.



La2PdW after structural relaxation, computed with PBE.

Cell and atoms, written as POSCAR:
```
La2PdW
1.0
7.931 0.000 0.000
0.000 7.931 0.000
3.966 3.966 3.161
Pd W La
2 2 4
Direct
0.500 0.500 0.000
0.250 0.750 0.500
0.000 0.000 0.000
0.750 0.250 0.500
0.620 0.125 0.250
0.130 0.625 0.250
0.375 0.380 0.750
0.875 0.870 0.750
```

Results
Its space group is I-42d (122). The density is 9.489 g/cm³. The energy comes out at -6.53 eV/atom. The value obtained for the formation energy is 0.472 eV per atom. The calculation puts the density of states at the Fermi level at 8.80 states/eV/cell.



La2PdW2 after structural relaxation, computed with PBE.

Cell and atoms, written as POSCAR:
```
La2PdW2
1.0
-1.190 -5.655 -6.729
8.104 -3.335 1.369
-1.221 -2.139 2.014
Pd W La
2 4 4
Direct
0.000 0.000 0.000
0.500 0.500 0.000
0.092 0.592 0.500
0.592 0.908 0.500
0.908 0.408 0.500
0.408 0.092 0.500
0.299 0.799 0.000
0.799 0.701 0.000
0.701 0.201 0.000
0.201 0.299 0.000
```

Results
Its space group is P4/mbm (127). The density is 9.977 g/cm³. The energy comes out at -7.36 eV/atom. The value obtained for the formation energy is 0.829 eV per atom. The calculation puts the density of states at the Fermi level at 15.12 states/eV/cell.



LaPdW3 after structural relaxation, computed with PBE.

Cell and atoms, written as POSCAR:
```
LaPdW3
1.0
-2.325 3.918 1.392
-4.135 -2.010 -1.247
-0.438 -1.817 4.382
Pd W La
1 3 1
Direct
0.500 0.500 0.500
0.000 0.500 0.000
0.000 0.000 0.500
0.500 0.000 0.000
0.000 0.000 0.000
```

Results
Its space group is Pm-3m (221). The density is 12.239 g/cm³. The energy comes out at -6.94 eV/atom. The value obtained for the formation energy is 2.852 eV per atom. The calculation puts the density of states at the Fermi level at 5.35 states/eV/cell.



LaPd3W after structural relaxation, computed with PBE.

Cell and atoms, written as POSCAR:
```
LaPd3W
1.0
4.983 0.000 0.000
0.000 4.983 0.000
0.000 0.000 4.983
Pd W La
3 1 1
Direct
0.000 0.500 0.000
0.000 0.000 0.500
0.500 0.000 0.000
0.500 0.500 0.500
0.000 0.000 0.000
```

Results
Its space group is Pm-3m (221). The density is 8.615 g/cm³. The energy comes out at -5.07 eV/atom. The value obtained for the formation energy is 1.623 eV per atom. The calculation puts the density of states at the Fermi level at 10.72 states/eV/cell.